No. 1
First-principles (PBE-GGA) data for CdFeRu2 after structural relaxation, as listed in Alexandria.

Results
The calculation puts the formation enthalpy at 0 K at 383 meV per atom. The space-group type is P2/m, No. 10.

a b c (Å): 4.159 2.762 5.475
angles (deg): 74.71 90.00 90.00
Element x y z (fractional)
Cd  0.500  0.250  0.250
Fe  0.500  0.750  0.750
Ru  0.000  0.911  0.970
Ru  0.000  0.589  0.530

=====

No. 2
First-principles (PBE-GGA) data for CdFe4Ru after structural relaxation, as listed in Alexandria.

Results
The calculation puts the formation enthalpy at 0 K at 201 meV per atom. The space-group type is F-43m, No. 216.

a b c (Å): 4.825 4.825 4.825
angles (deg): 60.00 60.00 60.00
Element x y z (fractional)
Cd  0.000  0.000  0.000
Fe  0.625  0.625  0.125
Fe  0.625  0.125  0.625
Fe  0.625  0.625  0.625
Fe  0.125  0.625  0.625
Ru  0.250  0.250  0.250

=====

No. 3
First-principles (PBE-GGA) data for CdFeRu2 after structural relaxation, as listed in Alexandria.

Results
The calculation puts the formation enthalpy at 0 K at 235 meV per atom. The space-group type is P4mm, No. 99.

a b c (Å): 2.775 2.775 7.857
angles (deg): 90.00 90.00 90.00
Element x y z (fractional)
Cd  0.000  0.000  0.501
Fe  0.500  0.500  0.770
Ru  0.000  0.000  0.006
Ru  0.500  0.500  0.222

=====

No. 4
First-principles (PBE-GGA) data for Cd2FeRu after structural relaxation, as listed in Alexandria.

Results
The calculation puts the formation enthalpy at 0 K at 391 meV per atom. The space-group type is Pmmm, No. 47.

a b c (Å): 4.195 2.840 6.298
angles (deg): 63.21 90.00 90.00
Element x y z (fractional)
Cd  0.000  0.000  0.000
Cd  0.000  0.500  0.500
Fe  0.500  0.250  0.250
Ru  0.500  0.750  0.750